Record 1
Compound: ZrCd2GeO6
Source: Alexandria via LeMat-Bulk
Functional: PBE
Structure: relaxed

Summary:
N(E_F): 0.31 states/eV/f.u.
Magnetization: 0.000 μB/atom
E_form (uncorrected): -1664 kJ/mol of formula units
Volume: 136.6 Å³/cell
Energy: -6.200 eV per atom

Unit cell a=4.746 b=5.365 c=5.365 alpha=90.00 beta=90.00 gamma=90.00
Positions (direct):
Cd (0.011, 0.000, 0.500)
Cd (0.011, 0.500, 0.000)
O (0.712, 0.763, 0.237)
O (0.712, 0.237, 0.763)
O (0.712, 0.237, 0.237)
O (0.222, 0.000, 0.000)
O (0.173, 0.500, 0.500)
O (0.712, 0.763, 0.763)
Ge (0.596, 0.000, 0.000)
Zr (0.587, 0.500, 0.500)

***

Record 2
Compound: Ac2NdSb4Ir3
Source: Alexandria via LeMat-Bulk
Functional: PBE
Structure: relaxed

Summary:
N(E_F): 4.39 states/eV/f.u.
Magnetization: 0.000 μB/atom
E_form (uncorrected): -659 kJ/mol of formula units
Volume: 255.2 Å³/cell
Energy: -6.289 eV per atom

Unit cell a=4.663 b=4.663 c=11.741 alpha=90.00 beta=90.00 gamma=90.00
Positions (direct):
Ir (0.500, 0.000, 0.890)
Ir (0.000, 0.500, 0.110)
Ir (0.000, 0.000, 0.500)
Ac (0.500, 0.000, 0.228)
Ac (0.000, 0.500, 0.772)
Sb (0.500, 0.500, 0.000)
Sb (0.500, 0.000, 0.663)
Sb (0.000, 0.000, 0.000)
Sb (0.000, 0.500, 0.337)
Nd (0.500, 0.500, 0.500)

***

Record 3
Compound: CrIrCl
Source: Alexandria via LeMat-Bulk
Functional: PBE
Structure: relaxed

Summary:
N(E_F): 2.20 states/eV/f.u.
Magnetization: 0.000 μB/atom
E_form (uncorrected): 51 kJ/mol of formula units
Relative energy among the computed polymorphs: 80.6 meV per atom
Volume: 52.9 Å³/cell
Energy: -6.599 eV per atom

Unit cell a=7.080 b=7.080 c=7.080 alpha=157.29 beta=157.29 gamma=32.33
Positions (direct):
Cl (0.947, 0.947, 0.000)
Cr (0.334, 0.334, 0.000)
Ir (0.719, 0.719, 0.000)